Entry 1:
A plane-wave DFT calculation with PBE was carried out for an optimized crystal structure of ErThTi.

POSCAR file:
```
ErThTi
1.0
3.544 0.000 0.000
0.000 3.544 0.000
0.000 0.000 12.601
Er Th Ti
2 2 2
Direct
0.250 0.250 0.104
0.750 0.750 0.896
0.250 0.250 0.708
0.750 0.750 0.292
0.250 0.250 0.445
0.750 0.750 0.555
```

Results
The uncorrected energy is -39.09 eV for the cell shown. For the density of states at the Fermi level, the calculation gives 9.43 states/eV per cell. Its space group is P4/nmm, No. 129. The crystal system is tetragonal. The value obtained for the size of the total moment is 0.0 μB/f.u. For the calculated formation energy, the calculation gives 0.1105 eV per atom. The calculation puts the mass density at 9.383 g/cm3.

Entry 2:
A plane-wave DFT calculation with PBE was carried out for an optimized crystal structure of ErTh2Ti.

POSCAR file:
```
ErTh2Ti
1.0
4.892 0.000 0.000
0.000 4.892 0.000
0.000 0.000 4.681
Er Th Ti
1 2 1
Direct
0.000 0.000 0.000
0.000 0.500 0.500
0.500 0.000 0.500
0.500 0.500 0.000
```

Results
The uncorrected energy is -26.51 eV for the cell shown. For the density of states at the Fermi level, the calculation gives 6.18 states/eV per cell. Its space group is P4/mmm, No. 123. The crystal system is tetragonal. The value obtained for the size of the total moment is 0.1 μB/f.u. For the calculated formation energy, the calculation gives 0.1974 eV per atom. The calculation puts the mass density at 10.066 g/cm3.

Entry 3:
A plane-wave DFT calculation with PBE was carried out for an optimized crystal structure of ErTh2Ti.

POSCAR file:
```
ErTh2Ti
1.0
1.727 0.997 10.829
-1.727 0.997 10.829
0.000 -1.994 10.829
Er Th Ti
1 2 1
Direct
0.000 0.000 0.000
0.579 0.579 0.579
0.758 0.758 0.758
0.171 0.171 0.171
```

Results
The uncorrected energy is -26.44 eV for the cell shown. For the density of states at the Fermi level, the calculation gives 7.06 states/eV per cell. Its space group is R3m, No. 160. The crystal system is trigonal. The value obtained for the size of the total moment is 0.0 μB/f.u. For the calculated formation energy, the calculation gives 0.2150 eV per atom. The calculation puts the mass density at 10.085 g/cm3.

Entry 4:
A plane-wave DFT calculation with PBE was carried out for an optimized crystal structure of ErTh2Ti.

POSCAR file:
```
ErTh2Ti
1.0
3.601 0.000 0.000
0.000 3.601 0.000
0.000 0.000 8.639
Er Th Ti
1 2 1
Direct
0.000 0.000 0.000
0.500 0.500 0.280
0.500 0.500 0.720
0.000 0.000 0.500
```

Results
The uncorrected energy is -26.79 eV for the cell shown. For the density of states at the Fermi level, the calculation gives 6.46 states/eV per cell. Its space group is P4/mmm, No. 123. The crystal system is tetragonal. The value obtained for the size of the total moment is 0.0 μB/f.u. For the calculated formation energy, the calculation gives 0.1271 eV per atom. The calculation puts the mass density at 10.066 g/cm3.